First-principles (PBE-GGA) data for a relaxed structure of KCa2SbI8, as listed in Alexandria via LeMat-Bulk.

Lattice parameters (Å, degrees): 7.233 9.627 7.645 90.00 90.40 90.00
Space group P2/m (No. 10)
Symmetry-distinct sites (fractional):
K  0.000  0.000  0.000
Ca  0.500  0.249  0.500
Sb  0.000  0.500  0.000
I  0.247  0.500  0.662
I  0.248  0.278  0.158
I  0.270  0.000  0.639

Computed properties:
Fermi-level density of states ... 0.00 states/eV/cell
E_form (uncorrected) ... -1.1016 eV/atom